Entry 1:
## NaAlSn2 (PBE-GGA)

Data for a geometry-optimized NaAlSn2 structure.

Lattice parameters (Å, degrees): 4.383 4.670 4.670 90.00 90.00 90.00
Element x y z (fractional)
Sn  0.000  0.000  0.500
Sn  0.000  0.500  0.000
Al  0.500  0.500  0.500
Na  0.500  0.000  0.000

Summary:
Formation enthalpy at 0 K in eV per atom: 0.01
Electronic total energy in eV/atom: -3.26
Space-group type: P4/mmm

***

Entry 2:
## NaTiAl2Sn (PBE-GGA)

Data for a geometry-optimized NaTiAl2Sn structure.

Lattice parameters (Å, degrees): 5.070 5.363 5.070 90.00 90.00 90.00
Last column: magnetic moment on the atom in μB.
Element x y z (fractional)
Sn  0.500  0.500  0.500  -0.09
Na  0.000  0.500  0.000  0.03
Al  0.000  0.000  0.500  0.04
Al  0.500  0.000  0.000  0.03
Ti  0.000  0.000  0.000  1.27

Summary:
Formation enthalpy at 0 K in eV per atom: 0.82
Electronic total energy in eV/atom: -3.32
Space-group type: P4/mmm

***

Entry 3:
## NaAlTlSn (PBE-GGA)

Data for a geometry-optimized NaAlTlSn structure.

Lattice parameters (Å, degrees): 5.225 5.225 5.225 60.00 60.00 60.00
Element x y z (fractional)
Sn  0.500  0.500  0.500
Tl  0.000  0.000  0.000
Na  0.250  0.250  0.250
Al  0.750  0.750  0.750

Summary:
Formation enthalpy at 0 K in eV per atom: 0.05
Electronic total energy in eV/atom: -2.80
Space-group type: F-43m

***

Entry 4:
## NaAlTlSn2 (PBE-GGA)

Data for a geometry-optimized NaAlTlSn2 structure.

Lattice parameters (Å, degrees): 5.848 5.404 5.848 90.00 90.00 90.00
Element x y z (fractional)
Al  0.000  0.500  0.000
Tl  0.000  0.000  0.000
Na  0.500  0.500  0.500
Sn  0.500  0.000  0.000
Sn  0.000  0.000  0.500

Summary:
Formation enthalpy at 0 K in eV per atom: 0.56
Electronic total energy in eV/atom: -2.52
Space-group type: P4/mmm

***

Entry 5:
## NaAlZnSn (PBE-GGA)

Data for a geometry-optimized NaAlZnSn structure.

Lattice parameters (Å, degrees): 4.939 4.939 4.939 60.00 60.00 60.00
Element x y z (fractional)
Sn  0.250  0.250  0.250
Zn  0.750  0.750  0.750
Al  0.000  0.000  0.000
Na  0.500  0.500  0.500

Summary:
Formation enthalpy at 0 K in eV per atom: 0.06
Electronic total energy in eV/atom: -2.53
Space-group type: F-43m

***

Entry 6:
## Na3SrAl (PBE-GGA)

Data for a geometry-optimized Na3SrAl structure.

Lattice parameters (Å, degrees): 5.828 5.828 5.828 90.00 90.00 90.00
Element x y z (fractional)
Na  0.500  0.000  0.000
Na  0.000  0.500  0.000
Na  0.000  0.000  0.500
Al  0.000  0.000  0.000
Sr  0.500  0.500  0.500

Summary:
Formation enthalpy at 0 K in eV per atom: 0.27
Electronic total energy in eV/atom: -1.60
E above lowest polymorph in eV/atom: 0.000
Space-group type: Pm-3m

***

Entry 7:
## NaSr2Al (PBE-GGA)

Data for a geometry-optimized NaSr2Al structure.

Lattice parameters (Å, degrees): 4.012 4.012 9.416 90.00 90.00 90.00
Element x y z (fractional)
Sr  0.000  0.000  0.800
Sr  0.000  0.000  0.200
Al  0.500  0.500  0.000
Na  0.500  0.500  0.500

Summary:
Formation enthalpy at 0 K in eV per atom: -0.07
Electronic total energy in eV/atom: -2.18
Space-group type: P4/mmm

***

Entry 8:
## Na2SrAl2 (PBE-GGA)

Data for a geometry-optimized Na2SrAl2 structure.

Lattice parameters (Å, degrees): 4.669 4.669 7.773 72.52 72.52 90.00
Element x y z (fractional)
Al  0.409  0.409  0.182
Al  0.591  0.591  0.818
Sr  0.000  0.000  0.000
Na  0.750  0.250  0.500
Na  0.250  0.750  0.500

Summary:
Formation enthalpy at 0 K in eV per atom: 0.10
Electronic total energy in eV/atom: -2.26
E above lowest polymorph in eV/atom: 0.000
Space-group type: I4/mmm

***

Entry 9:
## Na2SrAl2 (PBE-GGA)

Data for a geometry-optimized Na2SrAl2 structure.

Lattice parameters (Å, degrees): 8.715 8.715 3.968 90.00 90.00 90.00
Element x y z (fractional)
Al  0.392  0.892  0.000
Al  0.108  0.392  0.000
Al  0.608  0.108  0.000
Al  0.892  0.608  0.000
Sr  0.000  0.000  0.000
Sr  0.500  0.500  0.000
Na  0.821  0.321  0.500
Na  0.179  0.679  0.500
Na  0.321  0.179  0.500
Na  0.679  0.821  0.500

Summary:
Formation enthalpy at 0 K in eV per atom: 0.18
Electronic total energy in eV/atom: -2.18
E above lowest polymorph in eV/atom: 0.086
Space-group type: P4/mbm

***

Entry 10:
## NaSr3Al8 (PBE-GGA)

Data for a geometry-optimized NaSr3Al8 structure.

Lattice parameters (Å, degrees): 5.809 5.809 10.083 73.26 73.26 60.00
Element x y z (fractional)
Al  0.437  0.938  0.189
Al  0.187  0.187  0.438
Al  0.437  0.939  0.686
Al  0.688  0.688  0.936
Al  0.939  0.939  0.686
Al  0.939  0.437  0.686
Al  0.437  0.437  0.189
Al  0.938  0.437  0.189
Sr  0.502  0.502  0.494
Sr  0.998  0.998  0.007
Sr  0.375  0.375  0.874
Na  0.874  0.874  0.377

Summary:
Formation enthalpy at 0 K in eV per atom: -0.19
Electronic total energy in eV/atom: -3.21
Space-group type: R3m

***

Entry 11:
## NaSr2Al (PBE-GGA)

Data for a geometry-optimized NaSr2Al structure.

Lattice parameters (Å, degrees): 9.371 9.371 7.619 52.05 52.05 90.00
Element x y z (fractional)
Al  0.750  0.250  0.500
Al  0.000  0.000  0.000
Na  0.250  0.750  0.500
Na  0.500  0.500  0.000
Sr  0.091  0.625  0.250
Sr  0.875  0.909  0.750
Sr  0.659  0.125  0.250
Sr  0.375  0.341  0.750

Summary:
Formation enthalpy at 0 K in eV per atom: 0.23
Electronic total energy in eV/atom: -1.88
Space-group type: I-42d

***

Entry 12:
## Na2Sr5Al2 (PBE-GGA)

Data for a geometry-optimized Na2Sr5Al2 structure.

Lattice parameters (Å, degrees): 8.752 8.751 10.844 90.00 66.20 90.00
Element x y z (fractional)
Na  0.273  0.500  0.454
Na  0.773  0.000  0.454
Na  0.227  0.000  0.546
Na  0.727  0.500  0.546
Sr  0.293  0.679  0.773
Sr  0.707  0.321  0.227
Sr  0.793  0.821  0.773
Sr  0.934  0.321  0.773
Sr  0.207  0.179  0.227
Sr  0.566  0.821  0.227
Sr  0.434  0.179  0.773
Sr  0.066  0.679  0.227
Sr  0.000  0.000  0.000
Sr  0.500  0.500  0.000
Al  0.609  0.109  0.000
Al  0.391  0.891  0.000
Al  0.109  0.391  0.000
Al  0.891  0.609  0.000

Summary:
Formation enthalpy at 0 K in eV per atom: -0.05
Electronic total energy in eV/atom: -2.11
Space-group type: Cmce

***

Entry 13:
## Na12Sr16Al (PBE-GGA)

Data for a geometry-optimized Na12Sr16Al structure.

Lattice parameters (Å, degrees): 11.955 11.955 11.927 109.15 109.15 109.20
Element x y z (fractional)
Na  0.368  0.991  0.178
Na  0.338  0.158  0.981
Na  0.821  0.642  0.631
Na  0.189  0.996  0.350
Na  0.799  0.173  0.820
Na  0.827  0.827  0.197
Na  0.158  0.338  0.981
Na  0.642  0.821  0.631
Na  0.173  0.799  0.820
Na  0.991  0.368  0.178
Na  0.643  0.643  0.826
Na  0.996  0.189  0.350
Sr  0.681  0.989  0.393
Sr  0.303  0.303  0.680
Sr  0.989  0.681  0.393
Sr  0.990  0.990  0.635
Sr  0.999  0.999  0.004
Sr  0.291  0.607  0.609
Sr  0.328  0.714  0.322
Sr  0.643  0.424  0.027
Sr  0.424  0.643  0.027
Sr  0.714  0.328  0.322
Sr  0.627  0.988  0.001
Sr  0.412  0.412  0.341
Sr  0.988  0.627  0.001
Sr  0.999  0.388  0.679
Sr  0.388  0.999  0.679
Sr  0.607  0.291  0.609
Al  0.671  0.671  0.336

Summary:
Formation enthalpy at 0 K in eV per atom: 0.04
Electronic total energy in eV/atom: -1.57
Space-group type: Cm

***

Entry 14:
## NaSrAl2 (PBE-GGA)

Data for a geometry-optimized NaSrAl2 structure.

Lattice parameters (Å, degrees): 4.950 4.950 11.043 77.05 77.05 90.00
Element x y z (fractional)
Al  0.279  0.625  0.250
Al  0.875  0.721  0.750
Al  0.375  0.529  0.750
Al  0.471  0.125  0.250
Na  0.500  0.500  0.000
Na  0.250  0.750  0.500
Sr  0.000  0.000  0.000
Sr  0.750  0.250  0.500

Summary:
Formation enthalpy at 0 K in eV per atom: 0.28
Electronic total energy in eV/atom: -2.34
E above lowest polymorph in eV/atom: 0.157
Space-group type: I-42d

***

Entry 15:
## Na2SrAl2 (PBE-GGA)

Data for a geometry-optimized Na2SrAl2 structure.

Lattice parameters (Å, degrees): 8.848 8.848 3.554 90.00 90.00 90.00
Element x y z (fractional)
Sr  0.500  0.500  0.000
Sr  0.000  0.000  0.000
Al  0.682  0.818  0.500
Al  0.818  0.318  0.500
Al  0.182  0.682  0.500
Al  0.318  0.182  0.500
Na  0.882  0.618  0.000
Na  0.118  0.382  0.000
Na  0.382  0.882  0.000
Na  0.618  0.118  0.000

Summary:
Formation enthalpy at 0 K in eV per atom: 0.19
Electronic total energy in eV/atom: -2.17
E above lowest polymorph in eV/atom: 0.093
Space-group type: P4/mbm

***

Entry 16:
## Na2SrAl (PBE-GGA)

Data for a geometry-optimized Na2SrAl structure.

Lattice parameters (Å, degrees): 4.781 4.781 12.795 79.23 79.23 90.00
Element x y z (fractional)
Na  0.375  0.418  0.750
Na  0.168  0.625  0.250
Na  0.582  0.125  0.250
Na  0.875  0.832  0.750
Sr  0.000  0.000  0.000
Sr  0.750  0.250  0.500
Al  0.500  0.500  0.000
Al  0.250  0.750  0.500

Summary:
Formation enthalpy at 0 K in eV per atom: 0.19
Electronic total energy in eV/atom: -1.82
Space-group type: I-42d

***

Entry 17:
## NaSr5Al2 (PBE-GGA)

Data for a geometry-optimized NaSr5Al2 structure.

Lattice parameters (Å, degrees): 8.809 8.809 10.557 114.66 114.66 90.00
Element x y z (fractional)
Sr  0.500  0.500  0.000
Sr  0.198  0.034  0.732
Sr  0.966  0.466  0.268
Sr  0.466  0.302  0.268
Sr  0.034  0.534  0.732
Sr  0.534  0.698  0.732
Sr  0.302  0.802  0.268
Sr  0.802  0.966  0.268
Sr  0.698  0.198  0.732
Sr  0.000  0.000  0.000
Na  0.250  0.250  0.500
Na  0.750  0.750  0.500
Al  0.388  0.888  0.000
Al  0.888  0.612  0.000
Al  0.612  0.112  0.000
Al  0.112  0.388  0.000

Summary:
Formation enthalpy at 0 K in eV per atom: -0.08
Electronic total energy in eV/atom: -2.23
Space-group type: I4/mcm

***

Entry 18:
## NaSr2Al (PBE-GGA)

Data for a geometry-optimized NaSr2Al structure.

Lattice parameters (Å, degrees): 4.077 5.896 5.896 90.00 90.00 90.00
Element x y z (fractional)
Na  0.500  0.000  0.000
Sr  0.000  0.000  0.500
Sr  0.000  0.500  0.000
Al  0.500  0.500  0.500

Summary:
Formation enthalpy at 0 K in eV per atom: 0.00
Electronic total energy in eV/atom: -2.10
Space-group type: P4/mmm

***

Entry 19:
## NaSr2Al (PBE-GGA)

Data for a geometry-optimized NaSr2Al structure.

Lattice parameters (Å, degrees): 3.944 3.944 13.444 81.57 81.57 60.00
Element x y z (fractional)
Sr  0.917  0.917  0.248
Sr  0.083  0.083  0.752
Na  0.500  0.500  0.500
Al  0.000  0.000  0.000

Summary:
Formation enthalpy at 0 K in eV per atom: 0.44
Electronic total energy in eV/atom: -1.67
Space-group type: R-3m

***

Entry 20:
## NaSrAl2 (PBE-GGA)

Data for a geometry-optimized NaSrAl2 structure.

Lattice parameters (Å, degrees): 5.350 5.350 5.350 60.00 60.00 60.00
Element x y z (fractional)
Na  0.000  0.000  0.000
Al  0.750  0.750  0.750
Al  0.250  0.250  0.250
Sr  0.500  0.500  0.500

Summary:
Formation enthalpy at 0 K in eV per atom: 0.12
Electronic total energy in eV/atom: -2.50
E above lowest polymorph in eV/atom: 0.000
Space-group type: Fm-3m

***

Entry 21:
## NaSr6Al2 (PBE-GGA)

Data for a geometry-optimized NaSr6Al2 structure.

Lattice parameters (Å, degrees): 10.018 10.018 10.018 104.02 112.53 111.99
Element x y z (fractional)
Al  0.624  0.000  0.624
Al  0.376  0.000  0.376
Al  0.500  0.607  0.107
Al  0.500  0.393  0.893
Sr  0.782  0.763  0.545
Sr  0.218  0.237  0.455
Sr  0.302  0.619  0.317
Sr  0.468  0.279  0.189
Sr  0.698  0.015  0.317
Sr  0.532  0.721  0.811
Sr  0.782  0.237  0.019
Sr  0.302  0.985  0.683
Sr  0.091  0.279  0.811
Sr  0.909  0.721  0.189
Sr  0.218  0.763  0.981
Sr  0.698  0.381  0.683
Na  0.000  0.000  0.000
Na  0.000  0.500  0.500

Summary:
Formation enthalpy at 0 K in eV per atom: -0.06
Electronic total energy in eV/atom: -2.16
Space-group type: Immm

***

Entry 22:
## Na3SrAl (PBE-GGA)

Data for a geometry-optimized Na3SrAl structure.

Lattice parameters (Å, degrees): 6.619 6.619 6.619 90.00 90.00 90.00
Element x y z (fractional)
Na  0.000  0.500  0.000
Na  0.500  0.000  0.000
Na  0.000  0.000  0.500
Al  0.500  0.500  0.500
Sr  0.000  0.000  0.000

Summary:
Formation enthalpy at 0 K in eV per atom: 0.93
Electronic total energy in eV/atom: -0.95
E above lowest polymorph in eV/atom: 0.658
Space-group type: Pm-3m

***

Entry 23:
## NaSr2AlTc (PBE-GGA)

Data for a geometry-optimized NaSr2AlTc structure.

Lattice parameters (Å, degrees): 5.877 5.070 5.877 90.00 90.00 90.00
Last column: magnetic moment on the atom in μB.
Element x y z (fractional)
Na  0.000  0.000  0.000  0.00
Al  0.000  0.500  0.000  -0.02
Sr  0.000  0.000  0.500  -0.03
Sr  0.500  0.000  0.000  -0.04
Tc  0.500  0.500  0.500  3.15

Summary:
Formation enthalpy at 0 K in eV per atom: 1.26
Electronic total energy in eV/atom: -2.50
Space-group type: P4/mmm

***

Entry 24:
## NaSrAlTl (PBE-GGA)

Data for a geometry-optimized NaSrAlTl structure.

Lattice parameters (Å, degrees): 5.493 5.493 5.493 60.00 60.00 60.00
Element x y z (fractional)
Tl  0.250  0.250  0.250
Sr  0.500  0.500  0.500
Na  0.000  0.000  0.000
Al  0.750  0.750  0.750

Summary:
Formation enthalpy at 0 K in eV per atom: -0.05
Electronic total energy in eV/atom: -2.33
Space-group type: F-43m